No. 1
A plane-wave DFT calculation with PBE was carried out for a geometry-optimized NdCoAs2Pd structure.

Output
Energy   -6.03 eV per atom

Cell lengths 4.204, 4.204, 10.247 Å; angles 90.00, 90.00, 90.00 degrees
Each line ends with the local moment (μB).
Positions (direct):
Nd: 0.500 0.000 0.734  -0.02
Nd: 0.000 0.500 0.266  -0.02
Pd: 0.000 0.500 0.858  -0.02
Pd: 0.500 0.000 0.142  -0.02
Co: 0.000 0.000 0.500  0.75
Co: 0.500 0.500 0.500  0.75
As: 0.000 0.500 0.614  0.00
As: 0.000 0.000 0.000  -0.01
As: 0.500 0.500 0.000  -0.01
As: 0.500 0.000 0.386  0.00

---

No. 2
A plane-wave DFT calculation with PBE was carried out for a geometry-optimized CoNiAs2 structure.

Output
Energy relative to the lowest polymorph listed for this composition   0 meV/atom

Cell lengths 6.449, 6.449, 6.449 Å; angles 131.88, 131.88, 70.41 degrees
Positions (direct):
As: 0.375 0.882 0.007
As: 0.118 0.125 0.493
As: 0.632 0.625 0.507
As: 0.875 0.368 0.993
Ni: 0.500 0.500 0.000
Ni: 0.250 0.750 0.500
Co: 0.750 0.250 0.500
Co: 0.000 0.000 0.000

---

No. 3
A plane-wave DFT calculation with PBE was carried out for a geometry-optimized ScCoNiAs structure.

Output
Energy relative to the lowest polymorph listed for this composition   212 meV/atom

Cell lengths 4.330, 4.330, 4.330 Å; angles 60.00, 60.00, 60.00 degrees
Each line ends with the local moment (μB).
Positions (direct):
Sc: 0.500 0.500 0.500  -0.14
Ni: 0.000 0.000 0.000  0.06
Co: 0.750 0.750 0.750  1.33
As: 0.250 0.250 0.250  0.04

---

No. 4
A plane-wave DFT calculation with PBE was carried out for a geometry-optimized ScCoNiAs structure.

Output
Energy relative to the lowest polymorph listed for this composition   120 meV/atom

Cell lengths 4.286, 4.286, 4.286 Å; angles 60.00, 60.00, 60.00 degrees
Each line ends with the local moment (μB).
Positions (direct):
Ni: 0.500 0.500 0.500  0.03
As: 0.000 0.000 0.000  0.00
Sc: 0.250 0.250 0.250  -0.01
Co: 0.750 0.750 0.750  0.08

---

No. 5
A plane-wave DFT calculation with PBE was carried out for a geometry-optimized ScCoNiAs structure.

Output
Energy relative to the lowest polymorph listed for this composition   0 meV/atom

Cell lengths 4.222, 4.222, 4.222 Å; angles 60.00, 60.00, 60.00 degrees
Positions (direct):
Sc: 0.500 0.500 0.500
Co: 0.250 0.250 0.250
Ni: 0.750 0.750 0.750
As: 0.000 0.000 0.000

---

No. 6
A plane-wave DFT calculation with PBE was carried out for a geometry-optimized YCoNiAs structure.

Output
Energy relative to the lowest polymorph listed for this composition   104 meV/atom

Cell lengths 4.517, 4.517, 4.517 Å; angles 60.00, 60.00, 60.00 degrees
Positions (direct):
Y: 0.250 0.250 0.250
Ni: 0.500 0.500 0.500
As: 0.000 0.000 0.000
Co: 0.750 0.750 0.750

---

No. 7
A plane-wave DFT calculation with PBE was carried out for a geometry-optimized YCoNiAs structure.

Output
Energy relative to the lowest polymorph listed for this composition   0 meV/atom

Cell lengths 4.418, 4.418, 4.418 Å; angles 60.00, 60.00, 60.00 degrees
Positions (direct):
Y: 0.500 0.500 0.500
Ni: 0.250 0.250 0.250
As: 0.000 0.000 0.000
Co: 0.750 0.750 0.750

---

No. 8
A plane-wave DFT calculation with PBE was carried out for a geometry-optimized Zr4CoNiAs2 structure.

Output
Energy   -7.84 eV per atom

Cell lengths 5.363, 3.738, 7.583 Å; angles 90.00, 110.24, 90.00 degrees
Positions (direct):
Zr: 0.795 0.000 0.080
Zr: 0.202 0.500 0.915
Zr: 0.270 0.000 0.569
Zr: 0.732 0.500 0.441
Ni: 0.139 0.500 0.295
As: 0.636 0.500 0.791
As: 0.363 0.000 0.209
Co: 0.865 0.000 0.700

---

No. 9
A plane-wave DFT calculation with PBE was carried out for a geometry-optimized NpCoAs structure.

Output
Energy   -8.11 eV per atom

Cell lengths 4.361, 4.361, 4.361 Å; angles 60.00, 60.00, 60.00 degrees
Positions (direct):
Co: 0.250 0.250 0.250
Np: 0.750 0.750 0.750
As: 0.000 0.000 0.000